1.
Material: TbPm9In2
Method: DFT, PBE
State: optimized geometry

Lattice parameters (Å, degrees): 4.979 4.979 15.268 90.00 90.00 90.00
Fractional positions:
Pm1 0.500 0.500 0.662
Pm2 0.000 0.500 0.173
Pm3 0.500 0.500 0.000
Pm4 0.500 0.000 0.173
Pm5 0.500 0.000 0.827
Pm6 0.000 0.500 0.500
Pm7 0.500 0.000 0.500
Pm8 0.000 0.500 0.827
Pm9 0.500 0.500 0.338
In1 0.000 0.000 0.661
In2 0.000 0.000 0.339
Tb1 0.000 0.000 0.000

## Properties
**Uncorrected energy**: -4.578 eV per atom
**Size of the total moment**: 0.00 μB/atom

2.
Material: TbPm2In
Method: DFT, PBE
State: optimized geometry

Lattice parameters (Å, degrees): 3.624 3.624 9.483 90.00 90.00 90.00
Fractional positions:
Pm1 0.000 0.000 0.773
Pm2 0.000 0.000 0.227
In1 0.500 0.500 0.000
Tb1 0.500 0.500 0.500

## Properties
**ΔE to the lowest computed polymorph**: 0.23 eV per formula unit
**Uncorrected energy**: -4.431 eV per atom
**Size of the total moment**: 0.00 μB/atom

3.
Material: TbPm6In4
Method: DFT, PBE
State: optimized geometry

Lattice parameters (Å, degrees): 8.190 8.190 8.190 85.92 122.38 122.38
Fractional positions:
In1 0.324 0.728 0.728
In2 0.000 0.596 0.272
In3 0.676 0.404 0.404
In4 0.000 0.272 0.596
Pm1 0.623 0.094 0.094
Pm2 0.500 0.000 0.500
Pm3 0.000 0.529 0.906
Pm4 0.377 0.471 0.471
Pm5 0.000 0.906 0.529
Pm6 0.500 0.500 0.000
Tb1 0.000 0.000 0.000

## Properties
**Uncorrected energy**: -4.138 eV per atom
**Size of the total moment**: 0.00 μB/atom

4.
Material: Tb3Pm2In2
Method: DFT, PBE
State: optimized geometry

Lattice parameters (Å, degrees): 3.509 8.075 8.701 117.86 101.63 90.00
Fractional positions:
Pm1 0.131 0.288 0.262
Pm2 0.869 0.712 0.738
Tb1 0.210 0.796 0.421
Tb2 0.790 0.204 0.579
Tb3 0.000 0.500 0.000
In1 0.569 0.891 0.138
In2 0.431 0.109 0.862

## Properties
**ΔE to the lowest computed polymorph**: 0.20 eV per formula unit
**Uncorrected energy**: -4.256 eV per atom
**Size of the total moment**: 0.00 μB/atom

5.
Material: Tb2Pm6In
Method: DFT, PBE
State: optimized geometry

Lattice parameters (Å, degrees): 3.447 9.808 12.001 114.12 124.99 90.00
Fractional positions:
Pm1 0.156 0.327 0.327
Pm2 0.156 0.000 0.327
Pm3 0.500 0.323 0.000
Pm4 0.844 0.673 0.673
Pm5 0.500 0.677 0.000
Pm6 0.844 0.000 0.673
Tb1 0.665 0.666 0.333
Tb2 0.335 0.334 0.667
In1 0.000 0.000 0.000

## Properties
**ΔE to the lowest computed polymorph**: 0.77 eV per formula unit
**Uncorrected energy**: -4.511 eV per atom
**Size of the total moment**: 0.00 μB/atom

6.
Material: Tb15PmIn4
Method: DFT, PBE
State: optimized geometry

Lattice parameters (Å, degrees): 4.874 4.874 24.832 90.00 90.00 90.00
Fractional positions:
Tb1 0.000 0.500 0.500
Tb2 0.500 0.500 0.402
Tb3 0.500 0.500 0.794
Tb4 0.500 0.000 0.696
Tb5 0.500 0.000 0.304
Tb6 0.500 0.500 0.206
Tb7 0.500 0.000 0.894
Tb8 0.000 0.500 0.304
Tb9 0.500 0.500 0.598
Tb10 0.000 0.500 0.696
Tb11 0.500 0.000 0.500
Tb12 0.000 0.500 0.106
Tb13 0.000 0.500 0.894
Tb14 0.500 0.000 0.106
Tb15 0.500 0.500 0.000
In1 0.000 0.000 0.207
In2 0.000 0.000 0.598
In3 0.000 0.000 0.402
In4 0.000 0.000 0.793
Pm1 0.000 0.000 0.000

## Properties
**Uncorrected energy**: -4.461 eV per atom
**Size of the total moment**: 0.00 μB/atom

7.
Material: TbPm2In
Method: DFT, PBE
State: optimized geometry

Lattice parameters (Å, degrees): 3.675 3.675 11.189 80.55 80.55 60.00
Site moments in Bohr magnetons follow the coordinates.
Fractional positions:
Tb1 0.500 0.500 0.500  0.08
Pm1 0.078 0.078 0.765  0.04
Pm2 0.255 0.255 0.234  0.01
In1 0.666 0.666 0.001  0.00

## Properties
**ΔE to the lowest computed polymorph**: 0.59 eV per formula unit
**Uncorrected energy**: -4.340 eV per atom
**Size of the total moment**: 0.06 μB/atom

8.
Material: TbPm3In3
Method: DFT, PBE
State: optimized geometry

Lattice parameters (Å, degrees): 9.492 9.492 9.492 90.00 90.00 90.00
Fractional positions:
Tb1 0.076 0.576 0.924
Tb2 0.424 0.424 0.424
Tb3 0.576 0.924 0.076
Tb4 0.924 0.076 0.576
Pm1 0.325 0.825 0.675
Pm2 0.827 0.327 0.173
Pm3 0.173 0.827 0.327
Pm4 0.175 0.175 0.175
Pm5 0.327 0.173 0.827
Pm6 0.929 0.929 0.929
Pm7 0.675 0.325 0.825
Pm8 0.673 0.673 0.673
Pm9 0.071 0.429 0.571
Pm10 0.825 0.675 0.325
Pm11 0.571 0.071 0.429
Pm12 0.429 0.571 0.071
In1 0.246 0.130 0.502
In2 0.630 0.998 0.754
In3 0.870 0.002 0.254
In4 0.754 0.630 0.998
In5 0.998 0.754 0.630
In6 0.130 0.502 0.246
In7 0.002 0.254 0.870
In8 0.370 0.498 0.746
In9 0.254 0.870 0.002
In10 0.746 0.370 0.498
In11 0.502 0.246 0.130
In12 0.498 0.746 0.370

## Properties
**ΔE to the lowest computed polymorph**: 0.00 eV per formula unit
**Uncorrected energy**: -4.205 eV per atom
**Size of the total moment**: 0.00 μB/atom

9.
Material: Tb12PmIn3
Method: DFT, PBE
State: optimized geometry

Lattice parameters (Å, degrees): 4.880 4.880 19.936 90.00 90.00 90.00
Fractional positions:
Tb1 0.500 0.000 0.623
Tb2 0.000 0.500 0.868
Tb3 0.500 0.500 0.256
Tb4 0.500 0.000 0.868
Tb5 0.500 0.000 0.377
Tb6 0.500 0.000 0.132
Tb7 0.500 0.500 0.000
Tb8 0.000 0.500 0.377
Tb9 0.500 0.500 0.500
Tb10 0.500 0.500 0.744
Tb11 0.000 0.500 0.132
Tb12 0.000 0.500 0.623
Pm1 0.000 0.000 0.000
In1 0.000 0.000 0.500
In2 0.000 0.000 0.743
In3 0.000 0.000 0.257

## Properties
**Uncorrected energy**: -4.474 eV per atom
**Size of the total moment**: 0.00 μB/atom

10.
Material: TbPm2In
Method: DFT, PBE
State: optimized geometry

Lattice parameters (Å, degrees): 4.962 4.910 4.910 90.00 90.00 90.00
Site moments in Bohr magnetons follow the coordinates.
Fractional positions:
Tb1 0.500 0.500 0.500  0.05
Pm1 0.000 0.500 0.000  0.03
Pm2 0.000 0.000 0.500  0.03
In1 0.500 0.000 0.000  0.00

## Properties
**ΔE to the lowest computed polymorph**: 0.00 eV per formula unit
**Uncorrected energy**: -4.489 eV per atom
**Size of the total moment**: 0.05 μB/atom

11.
Material: TbPm12In6
Method: DFT, PBE
State: optimized geometry

Lattice parameters (Å, degrees): 8.338 8.338 8.338 89.07 89.07 89.07
Fractional positions:
Pm1 0.192 0.473 0.565
Pm2 0.383 0.074 0.123
Pm3 0.074 0.123 0.383
Pm4 0.565 0.192 0.473
Pm5 0.123 0.383 0.074
Pm6 0.527 0.435 0.808
Pm7 0.926 0.877 0.617
Pm8 0.617 0.926 0.877
Pm9 0.473 0.565 0.192
Pm10 0.435 0.808 0.527
Pm11 0.877 0.617 0.926
Pm12 0.808 0.527 0.435
Tb1 0.000 0.000 0.000
In1 0.273 0.122 0.743
In2 0.727 0.878 0.257
In3 0.257 0.727 0.878
In4 0.122 0.743 0.273
In5 0.878 0.257 0.727
In6 0.743 0.273 0.122

## Properties
**Uncorrected energy**: -4.344 eV per atom
**Size of the total moment**: 0.00 μB/atom

12.
Material: Tb4PmIn
Method: DFT, PBE
State: optimized geometry

Lattice parameters (Å, degrees): 5.531 11.145 6.883 90.00 90.00 119.73
Fractional positions:
Pm1 0.677 0.427 0.750
Pm2 0.323 0.573 0.250
In1 0.319 0.070 0.250
In2 0.681 0.930 0.750
Tb1 0.993 0.243 0.996
Tb2 0.331 0.081 0.750
Tb3 0.993 0.243 0.504
Tb4 0.007 0.757 0.496
Tb5 0.007 0.757 0.004
Tb6 0.360 0.610 0.750
Tb7 0.669 0.919 0.250
Tb8 0.640 0.390 0.250

## Properties
**ΔE to the lowest computed polymorph**: 0.10 eV per formula unit
**Uncorrected energy**: -4.466 eV per atom
**Size of the total moment**: 0.00 μB/atom

13.
Material: Tb4Pm7In
Method: DFT, PBE
State: optimized geometry

Lattice parameters (Å, degrees): 6.462 8.589 12.209 65.32 69.34 41.20
Fractional positions:
Tb1 0.811 0.708 0.586
Tb2 0.731 0.384 0.230
Tb3 0.189 0.292 0.414
Tb4 0.269 0.616 0.770
Pm1 0.877 0.861 0.276
Pm2 0.360 0.791 0.418
Pm3 0.500 0.000 0.000
Pm4 0.640 0.209 0.582
Pm5 0.123 0.139 0.724
Pm6 0.736 0.547 0.906
Pm7 0.264 0.453 0.094
In1 0.000 0.000 0.000

## Properties
**ΔE to the lowest computed polymorph**: 0.00 eV per formula unit
**Uncorrected energy**: -4.510 eV per atom
**Size of the total moment**: 0.00 μB/atom

14.
Material: TbPm2In
Method: DFT, PBE
State: optimized geometry

Lattice parameters (Å, degrees): 3.523 3.523 12.254 81.74 81.74 60.00
Site moments in Bohr magnetons follow the coordinates.
Fractional positions:
Pm1 0.095 0.095 0.716  0.08
Pm2 0.905 0.905 0.284  0.08
In1 0.500 0.500 0.500  0.00
Tb1 0.000 0.000 0.000  0.34

## Properties
**ΔE to the lowest computed polymorph**: 1.37 eV per formula unit
**Uncorrected energy**: -4.145 eV per atom
**Size of the total moment**: 0.20 μB/atom

15.
Material: Tb3Pm8In
Method: DFT, PBE
State: optimized geometry

Lattice parameters (Å, degrees): 8.424 8.424 8.424 93.90 117.77 117.77
Fractional positions:
Pm1 0.254 0.379 0.379
Pm2 0.508 0.271 0.271
Pm3 0.000 0.729 0.237
Pm4 0.000 0.875 0.621
Pm5 0.492 0.763 0.763
Pm6 0.746 0.125 0.125
Pm7 0.000 0.621 0.875
Pm8 0.000 0.237 0.729
Tb1 0.500 0.250 0.750
Tb2 0.000 0.500 0.500
Tb3 0.500 0.750 0.250
In1 0.000 0.000 0.000

## Properties
**Uncorrected energy**: -4.103 eV per atom
**Size of the total moment**: 0.00 μB/atom

16.
Material: TbPm5In3
Method: DFT, PBE
State: optimized geometry

Lattice parameters (Å, degrees): 6.870 9.548 9.547 120.00 90.00 90.00
Site moments in Bohr magnetons follow the coordinates.
Fractional positions:
Tb1 0.500 0.000 0.000  0.10
Tb2 0.000 0.000 0.000  0.10
In1 0.750 0.328 0.328  0.00
In2 0.250 0.000 0.328  0.00
In3 0.250 0.328 0.000  0.00
In4 0.750 0.000 0.672  0.00
In5 0.250 0.672 0.672  0.00
In6 0.750 0.672 0.000  0.00
Pm1 0.750 0.000 0.336  0.07
Pm2 0.250 0.000 0.664  0.07
Pm3 0.500 0.333 0.667  0.12
Pm4 0.000 0.667 0.333  0.12
Pm5 0.250 0.664 0.000  0.07
Pm6 0.000 0.333 0.667  0.12
Pm7 0.750 0.664 0.664  0.07
Pm8 0.750 0.336 0.000  0.07
Pm9 0.500 0.667 0.333  0.12
Pm10 0.250 0.336 0.336  0.07

## Properties
**Uncorrected energy**: -4.415 eV per atom
**Size of the total moment**: 0.10 μB/atom

17.
Material: Tb5PmIn2
Method: DFT, PBE
State: optimized geometry

Lattice parameters (Å, degrees): 3.607 8.478 8.478 77.23 77.72 77.72
Fractional positions:
Tb1 0.365 0.410 0.861
Tb2 0.365 0.861 0.410
Tb3 0.000 0.500 0.500
Tb4 0.635 0.139 0.590
Tb5 0.635 0.590 0.139
Pm1 0.000 0.000 0.000
In1 0.261 0.239 0.239
In2 0.739 0.761 0.761

## Properties
**Uncorrected energy**: -4.349 eV per atom
**Size of the total moment**: 0.00 μB/atom

18.
Material: Tb2PmIn
Method: DFT, PBE
State: optimized geometry

Lattice parameters (Å, degrees): 3.613 3.613 9.285 90.00 90.00 90.00
Fractional positions:
Pm1 0.500 0.500 0.500
Tb1 0.000 0.000 0.777
Tb2 0.000 0.000 0.223
In1 0.500 0.500 0.000

## Properties
**ΔE to the lowest computed polymorph**: 0.13 eV per formula unit
**Uncorrected energy**: -4.423 eV per atom
**Size of the total moment**: 0.00 μB/atom

19.
Material: Tb5Pm2In4
Method: DFT, PBE
State: optimized geometry

Lattice parameters (Å, degrees): 3.468 8.652 10.598 83.70 90.00 90.00
Fractional positions:
Tb1 0.000 0.163 0.856
Tb2 0.000 0.461 0.332
Tb3 0.000 0.837 0.144
Tb4 0.000 0.500 0.000
Tb5 0.000 0.539 0.668
Pm1 0.000 0.916 0.639
Pm2 0.000 0.084 0.361
In1 0.500 0.747 0.422
In2 0.500 0.199 0.113
In3 0.500 0.253 0.578
In4 0.500 0.801 0.887

## Properties
**ΔE to the lowest computed polymorph**: 0.00 eV per formula unit
**Uncorrected energy**: -4.218 eV per atom
**Size of the total moment**: 0.00 μB/atom

20.
Material: Tb2Pm9In
Method: DFT, PBE
State: optimized geometry

Lattice parameters (Å, degrees): 5.042 5.042 15.431 90.00 90.00 90.00
Fractional positions:
Pm1 0.000 0.500 0.839
Pm2 0.500 0.000 0.161
Pm3 0.500 0.500 0.670
Pm4 0.500 0.000 0.839
Pm5 0.500 0.000 0.500
Pm6 0.500 0.500 0.000
Pm7 0.000 0.500 0.500
Pm8 0.500 0.500 0.330
Pm9 0.000 0.500 0.161
Tb1 0.000 0.000 0.669
Tb2 0.000 0.000 0.331
In1 0.000 0.000 0.000

## Properties
**Uncorrected energy**: -4.632 eV per atom
**Size of the total moment**: 0.00 μB/atom